[1]
! Nd2CdNi4Sb3, relaxed, DFT PBE-GGA; values from VASP
&SYSTEM
  ibrav = 0, nat = 10, ntyp = 4
/
ATOMIC_SPECIES
Nd 144.24 Nd.upf
Cd 112.41 Cd.upf
Ni 58.69 Ni.upf
Sb 121.76 Sb.upf
CELL_PARAMETERS angstrom
4.3999 0.0000 0.0000
0.0000 4.3999 0.0000
0.0000 0.0000 10.2483
ATOMIC_POSITIONS crystal
Nd 0.0000 0.5000 0.2372
Nd 0.5000 0.0000 0.7628
Cd 0.0000 0.0000 0.5000
Ni 0.0000 0.0000 0.0000
Ni 0.0000 0.5000 0.6315
Ni 0.5000 0.0000 0.3685
Ni 0.5000 0.5000 0.0000
Sb 0.0000 0.5000 0.8720
Sb 0.5000 0.0000 0.1280
Sb 0.5000 0.5000 0.5000
! Calculated density (g/cm3): 8.38
! Electronic total energy (eV per cell): -51.809
! Energy relative to the elements, uncorrected (eV/f.u.): -5.87
! Total moment (μB/atom): 0.00

***

[2]
! NdYCdNi, relaxed, DFT PBE-GGA; values from VASP
&SYSTEM
  ibrav = 0, nat = 4, ntyp = 4
/
ATOMIC_SPECIES
Nd 144.24 Nd.upf
Y 88.91 Y.upf
Cd 112.41 Cd.upf
Ni 58.69 Ni.upf
CELL_PARAMETERS angstrom
0.0000 3.6417 3.6417
3.6417 0.0000 3.6417
3.6417 3.6417 0.0000
ATOMIC_POSITIONS crystal
Nd 0.0000 0.0000 0.0000
Y 0.5000 0.5000 0.5000
Cd 0.7500 0.7500 0.7500
Ni 0.2500 0.2500 0.2500
! Calculated density (g/cm3): 6.95
! Energy of formation from the pure elements (meV/atom): -219
! Electronic total energy (eV per cell): -18.803
! Total moment (μB/atom): 0.00

***

[3]
! Nd2Zn2CdNi5, relaxed, DFT PBE-GGA; values from VASP
&SYSTEM
  ibrav = 0, nat = 20, ntyp = 4
/
ATOMIC_SPECIES
Nd 144.24 Nd.upf
Zn 65.41 Zn.upf
Cd 112.41 Cd.upf
Ni 58.69 Ni.upf
CELL_PARAMETERS angstrom
9.5293 0.0000 0.0000
0.0000 9.5293 0.0000
0.0000 0.0000 3.6668
ATOMIC_POSITIONS crystal
Nd 0.1822 0.3178 0.0000
Nd 0.3178 0.8178 0.0000
Nd 0.6822 0.1822 0.0000
Nd 0.8178 0.6822 0.0000
Zn 0.1132 0.6132 0.0000
Zn 0.3868 0.1132 0.0000
Zn 0.6132 0.8868 0.0000
Zn 0.8868 0.3868 0.0000
Cd 0.0000 0.0000 0.0000
Cd 0.5000 0.5000 0.0000
Ni 0.0000 0.5000 0.5000
Ni 0.0623 0.7835 0.5000
Ni 0.2165 0.0623 0.5000
Ni 0.2835 0.5623 0.5000
Ni 0.4377 0.2835 0.5000
Ni 0.5000 0.0000 0.5000
Ni 0.5623 0.7165 0.5000
Ni 0.7165 0.4377 0.5000
Ni 0.7835 0.9377 0.5000
Ni 0.9377 0.2165 0.5000
! Calculated density (g/cm3): 8.23
! Energy of formation from the pure elements (meV/atom): -168
! Electronic total energy (eV per cell): -87.178
! Total moment (μB/atom): 0.00

***

[4]
! Nd2NpCdO6, relaxed, DFT PBE-GGA; values from VASP
&SYSTEM
  ibrav = 0, nat = 20, ntyp = 4
/
ATOMIC_SPECIES
Nd 144.24 Nd.upf
Np 237.00 Np.upf
Cd 112.41 Cd.upf
O 16.00 O.upf
CELL_PARAMETERS angstrom
5.7778 0.0000 0.0000
0.0000 6.0082 0.0000
-5.4365 0.0000 8.9948
ATOMIC_POSITIONS crystal
Nd 0.2112 0.0561 0.2428
Nd 0.2112 0.4439 0.7428
Nd 0.7888 0.5561 0.2572
Nd 0.7888 0.9439 0.7572
Np 0.5000 0.0000 0.0000
Np 0.5000 0.5000 0.5000
Cd 0.0000 0.0000 0.5000
Cd 0.0000 0.5000 0.0000
O 0.1352 0.1983 0.9286
O 0.1352 0.3017 0.4286
O 0.2047 0.7128 0.9039
O 0.2047 0.7872 0.4039
O 0.4292 0.0845 0.7745
O 0.4292 0.4155 0.2745
O 0.5708 0.5845 0.7255
O 0.5708 0.9155 0.2255
O 0.7953 0.2128 0.5961
O 0.7953 0.2872 0.0961
O 0.8648 0.6983 0.5714
O 0.8648 0.8017 0.0714
! Calculated density (g/cm3): 7.81
! Electronic total energy (eV per cell): -160.909
! Energy relative to the elements, uncorrected (eV/f.u.): -27.31
! Total moment (μB/atom): 0.30

***

[5]
! Nd4Cd2O, relaxed, DFT PBE-GGA; values from VASP
&SYSTEM
  ibrav = 0, nat = 7, ntyp = 3
/
ATOMIC_SPECIES
Nd 144.24 Nd.upf
Cd 112.41 Cd.upf
O 16.00 O.upf
CELL_PARAMETERS angstrom
2.5390 -12.2171 0.0000
2.5390 12.2171 0.0000
0.0000 0.0000 3.5013
ATOMIC_POSITIONS crystal
Nd 0.0677 0.9323 0.0000
Nd 0.1996 0.8004 0.5000
Nd 0.8004 0.1996 0.5000
Nd 0.9323 0.0677 0.0000
Cd 0.3438 0.6562 0.0000
Cd 0.6562 0.3438 0.0000
O 0.0000 0.0000 0.5000
! Calculated density (g/cm3): 6.25
! Electronic total energy (eV per cell): -30.448
! Energy relative to the elements, uncorrected (eV/f.u.): -4.59
! Total moment (μB/atom): 0.00

***

[6]
! Nd12Cd3O5, relaxed, DFT PBE-GGA; values from VASP
&SYSTEM
  ibrav = 0, nat = 80, ntyp = 3
/
ATOMIC_SPECIES
Nd 144.24 Nd.upf
Cd 112.41 Cd.upf
O 16.00 O.upf
CELL_PARAMETERS angstrom
-8.0972 8.0972 8.0972
8.0972 -8.0972 8.0972
8.0972 8.0972 -8.0972
ATOMIC_POSITIONS crystal
Nd 0.0095 0.1969 0.1067
Nd 0.0095 0.3126 0.9028
Nd 0.0902 0.6969 0.6874
Nd 0.0902 0.8933 0.4028
Nd 0.0972 0.6067 0.4098
Nd 0.0972 0.9905 0.6874
Nd 0.1067 0.0095 0.1969
Nd 0.1067 0.5972 0.9098
Nd 0.1874 0.1969 0.5902
Nd 0.1874 0.4905 0.5972
Nd 0.1969 0.1067 0.0095
Nd 0.1969 0.5902 0.1874
Nd 0.3031 0.3126 0.9098
Nd 0.3031 0.4905 0.3933
Nd 0.3126 0.9028 0.0095
Nd 0.3126 0.9098 0.3031
Nd 0.3933 0.3031 0.4905
Nd 0.3933 0.5902 0.9028
Nd 0.4028 0.0902 0.8933
Nd 0.4028 0.8126 0.5095
Nd 0.4098 0.0972 0.6067
Nd 0.4098 0.8126 0.8031
Nd 0.4905 0.3933 0.3031
Nd 0.4905 0.5972 0.1874
Nd 0.5095 0.4028 0.8126
Nd 0.5095 0.6067 0.6969
Nd 0.5902 0.1874 0.1969
Nd 0.5902 0.9028 0.3933
Nd 0.5972 0.1874 0.4905
Nd 0.5972 0.9098 0.1067
Nd 0.6067 0.4098 0.0972
Nd 0.6067 0.6969 0.5095
Nd 0.6874 0.0902 0.6969
Nd 0.6874 0.0972 0.9905
Nd 0.6969 0.5095 0.6067
Nd 0.6969 0.6874 0.0902
Nd 0.8031 0.4098 0.8126
Nd 0.8031 0.8933 0.9905
Nd 0.8126 0.5095 0.4028
Nd 0.8126 0.8031 0.4098
Nd 0.8933 0.4028 0.0902
Nd 0.8933 0.9905 0.8031
Nd 0.9028 0.0095 0.3126
Nd 0.9028 0.3933 0.5902
Nd 0.9098 0.1067 0.5972
Nd 0.9098 0.3031 0.3126
Nd 0.9905 0.6874 0.0972
Nd 0.9905 0.8031 0.8933
Cd 0.1250 0.2500 0.3750
Cd 0.1250 0.3750 0.7500
Cd 0.2500 0.3750 0.1250
Cd 0.2500 0.8750 0.6250
Cd 0.3750 0.1250 0.2500
Cd 0.3750 0.7500 0.1250
Cd 0.6250 0.2500 0.8750
Cd 0.6250 0.8750 0.7500
Cd 0.7500 0.1250 0.3750
Cd 0.7500 0.6250 0.8750
Cd 0.8750 0.6250 0.2500
Cd 0.8750 0.7500 0.6250
O 0.0000 0.0000 0.0000
O 0.0000 0.0000 0.5000
O 0.0000 0.5000 0.0000
O 0.0000 0.5000 0.5000
O 0.1250 0.7500 0.8750
O 0.1250 0.8750 0.2500
O 0.2500 0.1250 0.8750
O 0.2500 0.6250 0.3750
O 0.3750 0.2500 0.6250
O 0.3750 0.6250 0.7500
O 0.5000 0.0000 0.0000
O 0.5000 0.0000 0.5000
O 0.5000 0.5000 0.0000
O 0.5000 0.5000 0.5000
O 0.6250 0.3750 0.2500
O 0.6250 0.7500 0.3750
O 0.7500 0.3750 0.6250
O 0.7500 0.8750 0.1250
O 0.8750 0.1250 0.7500
O 0.8750 0.2500 0.1250
! Calculated density (g/cm3): 6.72
! Electronic total energy (eV per cell): -451.667
! Energy relative to the elements, uncorrected (eV/f.u.): -28.17
! Total moment (μB/atom): 0.09

***

[7]
! Nd5Cd2O2, relaxed, DFT PBE-GGA; values from VASP
&SYSTEM
  ibrav = 0, nat = 18, ntyp = 3
/
ATOMIC_SPECIES
Nd 144.24 Nd.upf
Cd 112.41 Cd.upf
O 16.00 O.upf
CELL_PARAMETERS angstrom
-3.5744 9.2238 3.6121
3.5744 -9.2238 3.6121
3.5744 9.2238 -3.6121
ATOMIC_POSITIONS crystal
Nd 0.0000 0.0000 0.5000
Nd 0.0000 0.5000 0.0000
Nd 0.2190 0.0829 0.1361
Nd 0.2314 0.0000 0.7314
Nd 0.2314 0.5000 0.2314
Nd 0.4469 0.0829 0.3639
Nd 0.5531 0.9171 0.6361
Nd 0.7686 0.0000 0.2686
Nd 0.7686 0.5000 0.7686
Nd 0.7810 0.9171 0.8639
Cd 0.1149 0.4864 0.6285
Cd 0.3578 0.4864 0.8715
Cd 0.6422 0.5136 0.1285
Cd 0.8851 0.5136 0.3715
O 0.0000 0.0000 0.0000
O 0.2163 0.9663 0.2500
O 0.5000 0.0000 0.5000
O 0.7837 0.0337 0.7500
! Calculated density (g/cm3): 6.82
! Electronic total energy (eV per cell): -94.968
! Energy relative to the elements, uncorrected (eV/f.u.): -11.90
! Total moment (μB/atom): 0.00

***

[8]
! NdCdO, relaxed, DFT PBE-GGA; values from VASP
&SYSTEM
  ibrav = 0, nat = 6, ntyp = 3
/
ATOMIC_SPECIES
Nd 144.24 Nd.upf
Cd 112.41 Cd.upf
O 16.00 O.upf
CELL_PARAMETERS angstrom
4.0504 0.0000 0.0000
0.0000 4.0504 0.0000
0.0000 0.0000 8.2695
ATOMIC_POSITIONS crystal
Nd 0.2500 0.2500 0.1404
Nd 0.7500 0.7500 0.8596
Cd 0.2500 0.2500 0.5765
Cd 0.7500 0.7500 0.4235
O 0.2500 0.7500 0.0000
O 0.7500 0.2500 0.0000
! Calculated density (g/cm3): 6.67
! Electronic total energy (eV per cell): -33.103
! Energy relative to the elements, uncorrected (eV/f.u.): -5.91
! Total moment (μB/atom): 0.00

***

[9]
! NdCdO, relaxed, DFT PBE-GGA; values from VASP
&SYSTEM
  ibrav = 0, nat = 6, ntyp = 3
/
ATOMIC_SPECIES
Nd 144.24 Nd.upf
Cd 112.41 Cd.upf
O 16.00 O.upf
CELL_PARAMETERS angstrom
-1.9105 1.9105 9.0308
1.9105 -1.9105 9.0308
1.9105 1.9105 -9.0308
ATOMIC_POSITIONS crystal
Nd 0.0800 0.0800 0.0000
Nd 0.9200 0.9200 0.0000
Cd 0.2884 0.2884 0.0000
Cd 0.7116 0.7116 0.0000
O 0.0000 0.5000 0.5000
O 0.5000 0.0000 0.5000
! Calculated density (g/cm3): 6.87
! Electronic total energy (eV per cell): -30.321
! Energy relative to the elements, uncorrected (eV/f.u.): -4.52
! Total moment (μB/atom): 0.00

***

[10]
! Nd3Cd5O12, relaxed, DFT PBE-GGA; values from VASP
&SYSTEM
  ibrav = 0, nat = 80, ntyp = 3
/
ATOMIC_SPECIES
Nd 144.24 Nd.upf
Cd 112.41 Cd.upf
O 16.00 O.upf
CELL_PARAMETERS angstrom
-6.7468 6.7468 6.7468
6.7468 -6.7468 6.7468
6.7468 6.7468 -6.7468
ATOMIC_POSITIONS crystal
Nd 0.1250 0.2500 0.3750
Nd 0.1250 0.3750 0.7500
Nd 0.2500 0.3750 0.1250
Nd 0.2500 0.8750 0.6250
Nd 0.3750 0.1250 0.2500
Nd 0.3750 0.7500 0.1250
Nd 0.6250 0.2500 0.8750
Nd 0.6250 0.8750 0.7500
Nd 0.7500 0.1250 0.3750
Nd 0.7500 0.6250 0.8750
Nd 0.8750 0.6250 0.2500
Nd 0.8750 0.7500 0.6250
Cd 0.0000 0.0000 0.0000
Cd 0.0000 0.0000 0.5000
Cd 0.0000 0.5000 0.0000
Cd 0.0000 0.5000 0.5000
Cd 0.1250 0.7500 0.8750
Cd 0.1250 0.8750 0.2500
Cd 0.2500 0.1250 0.8750
Cd 0.2500 0.6250 0.3750
Cd 0.3750 0.2500 0.6250
Cd 0.3750 0.6250 0.7500
Cd 0.5000 0.0000 0.0000
Cd 0.5000 0.0000 0.5000
Cd 0.5000 0.5000 0.0000
Cd 0.5000 0.5000 0.5000
Cd 0.6250 0.3750 0.2500
Cd 0.6250 0.7500 0.3750
Cd 0.7500 0.3750 0.6250
Cd 0.7500 0.8750 0.1250
Cd 0.8750 0.1250 0.7500
Cd 0.8750 0.2500 0.1250
O 0.0496 0.2193 0.1358
O 0.0496 0.3303 0.9138
O 0.0834 0.7193 0.6697
O 0.0834 0.8642 0.4138
O 0.0862 0.6358 0.4166
O 0.0862 0.9504 0.6697
O 0.1358 0.0496 0.2193
O 0.1358 0.5862 0.9166
O 0.1697 0.2193 0.5834
O 0.1697 0.4504 0.5862
O 0.2193 0.1358 0.0496
O 0.2193 0.5834 0.1697
O 0.2807 0.3303 0.9166
O 0.2807 0.4504 0.3642
O 0.3303 0.9138 0.0496
O 0.3303 0.9166 0.2807
O 0.3642 0.2807 0.4504
O 0.3642 0.5834 0.9138
O 0.4138 0.0834 0.8642
O 0.4138 0.8303 0.5496
O 0.4166 0.0862 0.6358
O 0.4166 0.8303 0.7807
O 0.4504 0.3642 0.2807
O 0.4504 0.5862 0.1697
O 0.5496 0.4138 0.8303
O 0.5496 0.6358 0.7193
O 0.5834 0.1697 0.2193
O 0.5834 0.9138 0.3642
O 0.5862 0.1697 0.4504
O 0.5862 0.9166 0.1358
O 0.6358 0.4166 0.0862
O 0.6358 0.7193 0.5496
O 0.6697 0.0834 0.7193
O 0.6697 0.0862 0.9504
O 0.7193 0.5496 0.6358
O 0.7193 0.6697 0.0834
O 0.7807 0.4166 0.8303
O 0.7807 0.8642 0.9504
O 0.8303 0.5496 0.4138
O 0.8303 0.7807 0.4166
O 0.8642 0.4138 0.0834
O 0.8642 0.9504 0.7807
O 0.9138 0.0496 0.3303
O 0.9138 0.3642 0.5834
O 0.9166 0.1358 0.5862
O 0.9166 0.2807 0.3303
O 0.9504 0.6697 0.0862
O 0.9504 0.7807 0.8642
! Calculated density (g/cm3): 6.42
! Electronic total energy (eV per cell): -437.201
! Energy relative to the elements, uncorrected (eV/f.u.): -30.92
! Total moment (μB/atom): 0.16

***

[11]
! Nd4Cd2O, relaxed, DFT PBE-GGA; values from VASP
&SYSTEM
  ibrav = 0, nat = 7, ntyp = 3
/
ATOMIC_SPECIES
Nd 144.24 Nd.upf
Cd 112.41 Cd.upf
O 16.00 O.upf
CELL_PARAMETERS angstrom
-2.4837 2.4837 7.8324
2.4837 -2.4837 7.8324
2.4837 2.4837 -7.8324
ATOMIC_POSITIONS crystal
Nd 0.0000 0.5000 0.5000
Nd 0.1715 0.1715 0.0000
Nd 0.5000 0.0000 0.5000
Nd 0.8285 0.8285 0.0000
Cd 0.3690 0.3690 0.0000
Cd 0.6310 0.6310 0.0000
O 0.0000 0.0000 0.0000
! Calculated density (g/cm3): 7.03
! Electronic total energy (eV per cell): -32.121
! Energy relative to the elements, uncorrected (eV/f.u.): -6.26
! Total moment (μB/atom): 0.00

***

[12]
! Nd2CdO, relaxed, DFT PBE-GGA; values from VASP
&SYSTEM
  ibrav = 0, nat = 4, ntyp = 3
/
ATOMIC_SPECIES
Nd 144.24 Nd.upf
Cd 112.41 Cd.upf
O 16.00 O.upf
CELL_PARAMETERS angstrom
1.8622 1.0751 7.8705
-1.8622 1.0751 7.8705
0.0000 -2.1503 7.8705
ATOMIC_POSITIONS crystal
Nd 0.2241 0.2241 0.2241
Nd 0.7759 0.7759 0.7759
Cd 0.0000 0.0000 0.0000
O 0.5000 0.5000 0.5000
! Calculated density (g/cm3): 7.32
! Electronic total energy (eV per cell): -20.943
! Energy relative to the elements, uncorrected (eV/f.u.): -5.53
! Total moment (μB/atom): 0.00

***

[13]
! Nd2Cd2O5, relaxed, DFT PBE-GGA; values from VASP
&SYSTEM
  ibrav = 0, nat = 9, ntyp = 3
/
ATOMIC_SPECIES
Nd 144.24 Nd.upf
Cd 112.41 Cd.upf
O 16.00 O.upf
CELL_PARAMETERS angstrom
4.2780 0.0000 0.0000
0.0000 4.2780 0.0000
0.0000 0.0000 7.5036
ATOMIC_POSITIONS crystal
Nd 0.0000 0.0000 0.0000
Nd 0.0000 0.0000 0.5000
Cd 0.5000 0.5000 0.2120
Cd 0.5000 0.5000 0.7880
O 0.0000 0.5000 0.1992
O 0.0000 0.5000 0.8008
O 0.5000 0.0000 0.1992
O 0.5000 0.0000 0.8008
O 0.5000 0.5000 0.5000
! Calculated density (g/cm3): 7.17
! Electronic total energy (eV per cell): -52.051
! Energy relative to the elements, uncorrected (eV/f.u.): -15.89
! Total moment (μB/atom): 0.00

***

[14]
! NdCd2OsO6, relaxed, DFT PBE-GGA; values from VASP
&SYSTEM
  ibrav = 0, nat = 10, ntyp = 4
/
ATOMIC_SPECIES
Nd 144.24 Nd.upf
Cd 112.41 Cd.upf
Os 190.23 Os.upf
O 16.00 O.upf
CELL_PARAMETERS angstrom
2.8575 1.6498 4.9777
-2.8575 1.6498 4.9777
0.0000 -3.2996 4.9777
ATOMIC_POSITIONS crystal
Nd 0.0000 0.0000 0.0000
Cd 0.2716 0.2716 0.2716
Cd 0.7783 0.7783 0.7783
Os 0.4922 0.4922 0.4922
O 0.1445 0.3905 0.6917
O 0.2511 0.8356 0.6019
O 0.3905 0.6917 0.1445
O 0.6019 0.2511 0.8355
O 0.6917 0.1445 0.3905
O 0.8355 0.6019 0.2511
! Calculated density (g/cm3): 7.73
! Electronic total energy (eV per cell): -63.116
! Energy relative to the elements, uncorrected (eV/f.u.): -15.54
! Total moment (μB/atom): 0.30

***

[15]
! Nd2CdOsO8, relaxed, DFT PBE-GGA; values from VASP
&SYSTEM
  ibrav = 0, nat = 12, ntyp = 4
/
ATOMIC_SPECIES
Nd 144.24 Nd.upf
Cd 112.41 Cd.upf
Os 190.23 Os.upf
O 16.00 O.upf
CELL_PARAMETERS angstrom
4.9341 0.0000 0.0000
-0.2958 4.9305 0.0000
-0.2066 -0.2243 7.4120
ATOMIC_POSITIONS crystal
Nd 0.0397 0.0392 0.2459
Nd 0.9603 0.9608 0.7541
Cd 0.5000 0.5000 0.0000
Os 0.5000 0.5000 0.5000
O 0.1987 0.1991 0.9799
O 0.2264 0.2282 0.5335
O 0.2850 0.6455 0.3179
O 0.3553 0.7164 0.6819
O 0.6447 0.2836 0.3181
O 0.7150 0.3545 0.6821
O 0.7736 0.7718 0.4665
O 0.8013 0.8009 0.0201
! Calculated density (g/cm3): 6.62
! Electronic total energy (eV per cell): -84.344
! Energy relative to the elements, uncorrected (eV/f.u.): -23.00
! Total moment (μB/atom): 0.00

***

[16]
! NdCdP2O8, relaxed, DFT PBE-GGA; values from VASP
&SYSTEM
  ibrav = 0, nat = 12, ntyp = 4
/
ATOMIC_SPECIES
Nd 144.24 Nd.upf
Cd 112.41 Cd.upf
P 30.97 P.upf
O 16.00 O.upf
CELL_PARAMETERS angstrom
5.2480 0.0000 0.0000
-2.6240 4.5449 0.0000
0.0000 0.0000 7.2999
ATOMIC_POSITIONS crystal
Nd 0.0000 0.0000 0.0000
Cd 0.0000 0.0000 0.5000
P 0.3333 0.6667 0.7954
P 0.6667 0.3333 0.2046
O 0.1716 0.3431 0.7300
O 0.1716 0.8284 0.7300
O 0.3333 0.6667 0.0076
O 0.3431 0.1716 0.2700
O 0.6569 0.8284 0.7300
O 0.6667 0.3333 0.9924
O 0.8284 0.1716 0.2700
O 0.8284 0.6569 0.2700
! Calculated density (g/cm3): 4.26
! Electronic total energy (eV per cell): -82.721
! Energy relative to the elements, uncorrected (eV/f.u.): -26.55
! Total moment (μB/atom): 0.08